(1)
First-principles (PBE) data for CsY2Hf after structural relaxation, as listed in Alexandria via LeMat-Bulk.

Unit cell a=5.7256 b=5.7256 c=5.7256 alpha=60.00 beta=60.00 gamma=60.00
With the nearest neighbours (Å) after each atom.
Positions (direct):
1 Cs 0.0000 0.0000 0.0000  8 Y 3.51
2 Y 0.2500 0.2500 0.2500  4 Hf 3.51, 4 Cs 3.51
3 Y 0.7500 0.7500 0.7500  4 Hf 3.51, 4 Cs 3.51
4 Hf 0.5000 0.5000 0.5000  8 Y 3.51

energy above the most stable polymorph in this dataset: 0.000 eV/f.u.
formation energy: 0.915 eV/atom
volume: 133 Å³ per cell

(2)
First-principles (PBE) data for LiEr2Ga3Pd4 after structural relaxation, as listed in Alexandria via LeMat-Bulk.

Unit cell a=3.9568 b=3.9568 c=11.6791 alpha=90.00 beta=90.00 gamma=90.00
With the nearest neighbours (Å) after each atom.
Positions (direct):
1 Li 0.0000 0.0000 0.0000  4 Pd 2.65, 4 Ga 2.80
2 Er 0.0000 0.5000 0.7517  4 Pd 3.02, 4 Ga 3.12
3 Er 0.5000 0.0000 0.2483  4 Pd 3.02, 4 Ga 3.12
4 Ga 0.0000 0.5000 0.3657  5 Pd 2.51-2.52
5 Ga 0.5000 0.0000 0.6343  5 Pd 2.51-2.52
6 Ga 0.5000 0.5000 0.0000  4 Pd 2.65, 4 Li 2.80
7 Pd 0.0000 0.0000 0.5000  4 Ga 2.52, 4 Pd 2.80
8 Pd 0.0000 0.5000 0.1504  3 Ga 2.51-2.65, 2 Li 2.65
9 Pd 0.5000 0.0000 0.8496  3 Ga 2.51-2.65, 2 Li 2.65
10 Pd 0.5000 0.5000 0.5000  4 Ga 2.52, 4 Pd 2.80

formation energy: -0.749 eV/atom
volume: 183 Å³ per cell

(3)
First-principles (PBE) data for KSr2Be after structural relaxation, as listed in Alexandria via LeMat-Bulk.

Unit cell a=3.8973 b=3.9050 c=11.0467 alpha=90.00 beta=90.21 gamma=90.00
With the nearest neighbours (Å) after each atom.
Positions (direct):
1 K 0.0000 0.0000 0.0000  4 K 3.90
2 Sr 0.4993 0.5000 0.3377  4 Be 3.29, 1 Sr 3.59
3 Sr 0.5007 0.5000 0.6623  4 Be 3.29, 1 Sr 3.59
4 Be 0.0000 0.0000 0.5000  8 Sr 3.29

formation energy: 0.305 eV/atom
volume: 168 Å³ per cell

(4)
First-principles (PBE) data for Al2IrRuC after structural relaxation, as listed in Alexandria via LeMat-Bulk.

Unit cell a=4.1012 b=4.1012 c=3.8420 alpha=90.00 beta=90.00 gamma=90.00
With the nearest neighbours (Å) after each atom.
Positions (direct):
1 Al 0.0000 0.5000 0.0000  2 C 2.05
2 Al 0.5000 0.0000 0.0000  2 C 2.05
3 Ir 0.0000 0.0000 0.5000  8 Al 2.81, 4 Ru 2.90
4 Ru 0.5000 0.5000 0.5000  2 C 1.92
5 C 0.5000 0.5000 0.0000  2 Ru 1.92, 4 Al 2.05

formation energy: -0.003 eV/atom
volume: 65 Å³ per cell

(5)
First-principles (PBE) data for Ag8Pd6Pt after structural relaxation, as listed in Alexandria via LeMat-Bulk.

Unit cell a=7.5847 b=7.5847 c=5.5441 alpha=90.00 beta=90.00 gamma=120.00
With the nearest neighbours (Å) after each atom.
Positions (direct):
1 Ag 0.0123 0.3340 0.1143  4 Pd 2.74-2.94, 4 Ag 2.79-2.91
2 Ag 0.3217 0.9877 0.1143  4 Pd 2.74-2.94, 4 Ag 2.79-2.91
3 Ag 0.3333 0.6667 0.7128  6 Pd 2.76-2.92, 3 Ag 2.79
4 Ag 0.3340 0.3217 0.8857  4 Pd 2.74-2.94, 4 Ag 2.79-2.91
5 Ag 0.6660 0.6783 0.1143  4 Pd 2.74-2.94, 4 Ag 2.79-2.91
6 Ag 0.6667 0.3333 0.2872  6 Pd 2.76-2.92, 3 Ag 2.79
7 Ag 0.6783 0.0123 0.8857  4 Pd 2.74-2.94, 4 Ag 2.79-2.91
8 Ag 0.9877 0.6660 0.8857  4 Pd 2.74-2.94, 4 Ag 2.79-2.91
9 Pd 0.0346 0.6760 0.3887  1 Pt 2.67, 6 Ag 2.74-2.94, 3 Pd 2.74-2.88
10 Pd 0.3240 0.3585 0.3887  1 Pt 2.67, 6 Ag 2.74-2.94, 3 Pd 2.74-2.88
11 Pd 0.3585 0.0346 0.6113  1 Pt 2.67, 6 Ag 2.74-2.94, 3 Pd 2.74-2.88
12 Pd 0.6415 0.9654 0.3887  1 Pt 2.67, 6 Ag 2.74-2.94, 3 Pd 2.74-2.88
13 Pd 0.6760 0.6415 0.6113  1 Pt 2.67, 6 Ag 2.74-2.94, 3 Pd 2.74-2.88
14 Pd 0.9654 0.3240 0.6113  1 Pt 2.67, 6 Ag 2.74-2.94, 3 Pd 2.74-2.88
15 Pt 0.0000 0.0000 0.5000  6 Pd 2.67

formation energy: 0.155 eV/atom
volume: 276 Å³ per cell

(6)
First-principles (PBE) data for CsMg3Nb after structural relaxation, as listed in Alexandria via LeMat-Bulk.

Unit cell a=5.5251 b=5.5251 c=5.5251 alpha=90.00 beta=90.00 gamma=90.00
With the nearest neighbours (Å) after each atom.
Positions (direct):
1 Cs 0.0000 0.0000 0.0000  6 Mg 2.76
2 Mg 0.0000 0.0000 0.5000  2 Cs 2.76
3 Mg 0.0000 0.5000 0.0000  2 Cs 2.76
4 Mg 0.5000 0.0000 0.0000  2 Cs 2.76
5 Nb 0.5000 0.5000 0.5000  12 Mg 3.91

energy above the most stable polymorph in this dataset: 6.646 eV/f.u.
formation energy: 2.160 eV/atom
volume: 169 Å³ per cell

(7)
First-principles (PBE) data for InAgRu after structural relaxation, as listed in Alexandria via LeMat-Bulk.

Unit cell a=4.4467 b=4.4467 c=4.4467 alpha=60.00 beta=60.00 gamma=60.00
With the nearest neighbours (Å) after each atom.
Positions (direct):
1 In 0.0000 0.0000 0.0000  4 Ru 2.72
2 Ag 0.5000 0.5000 0.5000  4 Ru 2.72
3 Ru 0.7500 0.7500 0.7500  4 In 2.72, 4 Ag 2.72

energy above the most stable polymorph in this dataset: 0.650 eV/f.u.
formation energy: 0.543 eV/atom
volume: 62 Å³ per cell

(8)
First-principles (PBE) data for V2NiPt8 after structural relaxation, as listed in Alexandria via LeMat-Bulk.

Unit cell a=7.0148 b=7.0148 c=7.0148 alpha=146.30 beta=116.83 gamma=73.54
With the nearest neighbours (Å) after each atom.
Positions (direct):
1 V 0.1958 0.1958 0.0000  10 Pt 2.60-2.69
2 V 0.8042 0.8042 0.0000  10 Pt 2.60-2.69
3 Ni 0.5000 0.5000 0.0000  8 Pt 2.62-2.70
4 Pt 0.0660 0.3410 0.7250  3 V 2.60-2.65, 1 Ni 2.70, 7 Pt 2.72-2.91
5 Pt 0.1872 0.0000 0.1872  2 V 2.60, 7 Pt 2.72-2.83
6 Pt 0.3525 0.8525 0.5000  2 Ni 2.62, 2 V 2.69, 8 Pt 2.73-2.87
7 Pt 0.3840 0.6590 0.7250  3 V 2.60-2.65, 1 Ni 2.70, 7 Pt 2.72-2.91
8 Pt 0.6160 0.3410 0.2750  3 V 2.60-2.65, 1 Ni 2.70, 7 Pt 2.72-2.91
9 Pt 0.6475 0.1475 0.5000  2 Ni 2.62, 2 V 2.69, 8 Pt 2.73-2.87
10 Pt 0.8128 0.0000 0.8128  2 V 2.60, 7 Pt 2.72-2.83
11 Pt 0.9340 0.6590 0.2750  3 V 2.60-2.65, 1 Ni 2.70, 7 Pt 2.72-2.91

formation energy: -0.316 eV/atom
volume: 168 Å³ per cell

(9)
First-principles (PBE) data for YNiMo2 after structural relaxation, as listed in Alexandria via LeMat-Bulk.

Unit cell a=5.4297 b=5.4297 c=2.7606 alpha=90.00 beta=90.00 gamma=121.40
With the nearest neighbours (Å) after each atom.
Positions (direct):
1 Y 0.0000 0.0000 0.0000  2 Ni 2.66, 2 Y 2.76
2 Ni 0.5000 0.5000 0.0000  2 Y 2.66, 2 Ni 2.76
3 Mo 0.0000 0.5000 0.5000  4 Mo 2.66-2.76
4 Mo 0.5000 0.0000 0.5000  4 Mo 2.66-2.76

energy above the most stable polymorph in this dataset: 1.631 eV/f.u.
formation energy: 0.525 eV/atom
volume: 69 Å³ per cell

(10)
First-principles (PBE) data for Sr4GeS5 after structural relaxation, as listed in Alexandria via LeMat-Bulk.

Unit cell a=7.3284 b=7.3284 c=7.3284 alpha=99.73 beta=99.73 gamma=131.45
With the nearest neighbours (Å) after each atom.
Positions (direct):
1 Sr 0.1011 0.2998 0.4009  6 S 2.98-3.06
2 Sr 0.2998 0.8989 0.1987  6 S 2.98-3.06
3 Sr 0.7002 0.1011 0.8013  6 S 2.98-3.06
4 Sr 0.8989 0.7002 0.5991  6 S 2.98-3.06
5 Ge 0.5357 0.5357 0.0000  1 S 2.40
6 S 0.2081 0.5990 0.8038  1 Ge 2.93, 5 Sr 2.98-3.06
7 S 0.4043 0.2081 0.6091  1 Ge 2.93, 5 Sr 2.98-3.06
8 S 0.5990 0.7952 0.3909  1 Ge 2.93, 5 Sr 2.98-3.06
9 S 0.7952 0.4043 0.1962  1 Ge 2.93, 5 Sr 2.98-3.06
10 S 0.9333 0.9333 0.0000  1 Ge 2.40

formation energy (no corrections): -1.744 eV/atom
volume: 269 Å³ per cell

(11)
First-principles (PBE) data for LaY2Pu after structural relaxation, as listed in Alexandria via LeMat-Bulk.

Unit cell a=12.6000 b=12.6000 c=12.6000 alpha=15.94 beta=15.94 gamma=15.94
With the nearest neighbours (Å) after each atom.
Positions (direct):
1 La 0.0000 0.0000 0.0000  6 La 3.49, 6 Y 3.59
2 Y 0.4128 0.4128 0.4128  1 Pu 3.25, 6 Y 3.49, 3 La 3.59
3 Y 0.5872 0.5872 0.5872  1 Pu 3.25, 6 Y 3.49, 3 La 3.59
4 Pu 0.5000 0.5000 0.5000  2 Y 3.25, 6 Pu 3.49

energy above the most stable polymorph in this dataset: 0.662 eV/f.u.
formation energy: 0.285 eV/atom
volume: 131 Å³ per cell

(12)
First-principles (PBE) data for TaV3Pb after structural relaxation, as listed in Alexandria via LeMat-Bulk.

Unit cell a=4.6787 b=4.6787 c=4.6787 alpha=90.00 beta=90.00 gamma=90.00
With the nearest neighbours (Å) after each atom.
Positions (direct):
1 Ta 0.0000 0.0000 0.0000  6 V 2.34
2 V 0.0000 0.0000 0.5000  2 Ta 2.34
3 V 0.0000 0.5000 0.0000  2 Ta 2.34
4 V 0.5000 0.0000 0.0000  2 Ta 2.34
5 Pb 0.5000 0.5000 0.5000  12 V 3.31

energy above the most stable polymorph in this dataset: 0.000 eV/f.u.
formation energy: 1.317 eV/atom
volume: 102 Å³ per cell

Copy entry 7 word for word.
First-principles (PBE) data for InAgRu after structural relaxation, as listed in Alexandria via LeMat-Bulk.

Unit cell a=4.4467 b=4.4467 c=4.4467 alpha=60.00 beta=60.00 gamma=60.00
With the nearest neighbours (Å) after each atom.
Positions (direct):
1 In 0.0000 0.0000 0.0000  4 Ru 2.72
2 Ag 0.5000 0.5000 0.5000  4 Ru 2.72
3 Ru 0.7500 0.7500 0.7500  4 In 2.72, 4 Ag 2.72

energy above the most stable polymorph in this dataset: 0.650 eV/f.u.
formation energy: 0.543 eV/atom
volume: 62 Å³ per cell

> What is the formula in the tenth record?

Sr4GeS5

Repeat the eleventh record exactly.
First-principles (PBE) data for LaY2Pu after structural relaxation, as listed in Alexandria via LeMat-Bulk.

Unit cell a=12.6000 b=12.6000 c=12.6000 alpha=15.94 beta=15.94 gamma=15.94
With the nearest neighbours (Å) after each atom.
Positions (direct):
1 La 0.0000 0.0000 0.0000  6 La 3.49, 6 Y 3.59
2 Y 0.4128 0.4128 0.4128  1 Pu 3.25, 6 Y 3.49, 3 La 3.59
3 Y 0.5872 0.5872 0.5872  1 Pu 3.25, 6 Y 3.49, 3 La 3.59
4 Pu 0.5000 0.5000 0.5000  2 Y 3.25, 6 Pu 3.49

energy above the most stable polymorph in this dataset: 0.662 eV/f.u.
formation energy: 0.285 eV/atom
volume: 131 Å³ per cell